[1]
DFT (GGA-PBE) results for a relaxed KSrMg2 crystal.

## Properties
formation energy from the elements = 0.16 eV per atom
volume = 157 Å³ per cell
SG = Fm-3m (225)

Unit cell a=6.052 b=6.052 c=6.052 alpha=60.00 beta=60.00 gamma=60.00
Positions (direct):
K (0.000, 0.000, 0.000)
Sr (0.500, 0.500, 0.500)
Mg (0.250, 0.250, 0.250)
Mg (0.750, 0.750, 0.750)

[2]
DFT (GGA-PBE) results for a relaxed SrHfAsO6 crystal.

## Properties
volume = 259 Å³ per cell
formation energy without anion corrections = -2.251 eV per atom
SG = P-31c (163)

Unit cell a=5.310 b=5.310 c=10.594 alpha=90.00 beta=90.00 gamma=120.00
Positions (direct):
As (0.333, 0.667, 0.250)
As (0.667, 0.333, 0.750)
O (0.637, 0.606, 0.650)
O (0.394, 0.363, 0.850)
O (0.968, 0.606, 0.850)
O (0.394, 0.032, 0.650)
O (0.606, 0.637, 0.150)
O (0.606, 0.968, 0.350)
O (0.363, 0.968, 0.150)
O (0.968, 0.363, 0.650)
O (0.032, 0.394, 0.150)
O (0.637, 0.032, 0.850)
O (0.363, 0.394, 0.350)
O (0.032, 0.637, 0.350)
Sr (0.000, 0.000, 0.500)
Sr (0.000, 0.000, 0.000)
Hf (0.333, 0.667, 0.750)
Hf (0.667, 0.333, 0.250)

[3]
DFT (GGA-PBE) results for a relaxed SiSnGe2 crystal.

## Properties
volume = 113 Å³ per cell
formation energy without anion corrections = 0.701 eV per atom
SG = R-3m (166)

Unit cell a=4.143 b=4.143 c=7.954 alpha=74.91 beta=74.91 gamma=60.00
Positions (direct):
Si (0.000, 0.000, 0.000)
Ge (0.103, 0.103, 0.690)
Ge (0.897, 0.897, 0.310)
Sn (0.500, 0.500, 0.500)